KRe2Pt: relaxed, PBE-GGA.

Properties
- Formation enthalpy at 0 K: 0.78 eV/atom
- Offset from the most stable computed form: 104 kJ/mol of formula units
- SG: No. 166

Unit cell a=10.707 b=10.707 c=10.707 alpha=14.98 beta=14.98 gamma=14.98
Fractional coordinates of all 4 atoms:
K (0.250, 0.250, 0.250)
Pt (0.750, 0.750, 0.750)
Re (0.013, 0.013, 0.013)
Re (0.487, 0.487, 0.487)

KRe2Pt: relaxed, PBE-GGA.

Properties
- Formation enthalpy at 0 K: 1.14 eV/atom
- Offset from the most stable computed form: 242 kJ/mol of formula units
- SG: No. 12

Unit cell a=5.902 b=5.902 c=2.639 alpha=80.15 beta=80.15 gamma=124.47
Fractional coordinates of all 4 atoms:
K (0.500, 0.000, 0.500)
Pt (0.000, 0.500, 0.500)
Re (0.000, 0.000, 0.000)
Re (0.500, 0.500, 0.000)

KRe2Pt: relaxed, PBE-GGA.

Properties
- Formation enthalpy at 0 K: 1.43 eV/atom
- Offset from the most stable computed form: 354 kJ/mol of formula units
- SG: No. 123

Unit cell a=3.817 b=3.817 c=4.895 alpha=90.00 beta=90.00 gamma=90.00
Fractional coordinates of all 4 atoms:
K (0.500, 0.000, 0.500)
Pt (0.000, 0.500, 0.500)
Re (0.000, 0.000, 0.000)
Re (0.500, 0.500, 0.000)

KRe2Pt: relaxed, PBE-GGA.

Properties
- Formation enthalpy at 0 K: 0.72 eV/atom
- Offset from the most stable computed form: 81 kJ/mol of formula units
- SG: No. 71

Unit cell a=6.274 b=6.274 c=4.947 alpha=66.79 beta=66.79 gamma=24.44
Fractional coordinates of all 4 atoms:
K (0.750, 0.750, 0.750)
Pt (0.250, 0.250, 0.250)
Re (0.962, 0.962, 0.038)
Re (0.538, 0.538, 0.462)

KRePt2: relaxed, PBE-GGA.

Properties
- Formation enthalpy at 0 K: 0.45 eV/atom
- Offset from the most stable computed form: 126 kJ/mol of formula units
- SG: No. 8

Unit cell a=4.831 b=4.831 c=6.676 alpha=83.91 beta=83.91 gamma=33.24
Fractional coordinates of all 4 atoms:
K (0.254, 0.254, 0.236)
Pt (0.018, 0.018, 0.937)
Pt (0.746, 0.746, 0.715)
Re (0.482, 0.482, 0.612)

KRePt2: relaxed, PBE-GGA.

Properties
- Formation enthalpy at 0 K: 0.51 eV/atom
- Offset from the most stable computed form: 153 kJ/mol of formula units
- SG: No. 123

Unit cell a=7.719 b=5.112 c=2.719 alpha=89.95 beta=69.39 gamma=131.46
Site moments in Bohr magnetons follow the coordinates.
Fractional coordinates of all 4 atoms:
K (0.500, 0.500, 0.000)  0.00
Pt (0.000, 0.000, 0.000)  0.06
Pt (0.500, 0.000, 0.500)  0.05
Re (0.000, 0.500, 0.500)  0.58

KRe2Pt: relaxed, PBE-GGA.

Properties
- Formation enthalpy at 0 K: 1.30 eV/atom
- Offset from the most stable computed form: 305 kJ/mol of formula units
- SG: No. 122

Unit cell a=4.154 b=4.154 c=10.239 alpha=78.30 beta=78.30 gamma=90.00
Fractional coordinates of all 8 atoms:
Re (0.726, 0.125, 0.250)
Re (0.024, 0.625, 0.250)
Re (0.375, 0.274, 0.750)
Re (0.875, 0.976, 0.750)
K (0.500, 0.500, 0.000)
K (0.250, 0.750, 0.500)
Pt (0.000, 0.000, 0.000)
Pt (0.750, 0.250, 0.500)

KRePt2: relaxed, PBE-GGA.

Properties
- Formation enthalpy at 0 K: 1.14 eV/atom
- Offset from the most stable computed form: 396 kJ/mol of formula units
- SG: No. 216

Unit cell a=4.619 b=4.619 c=4.619 alpha=60.00 beta=60.00 gamma=60.00
Fractional coordinates of all 4 atoms:
K (0.500, 0.500, 0.500)
Pt (0.000, 0.000, 0.000)
Pt (0.250, 0.250, 0.250)
Re (0.750, 0.750, 0.750)

KRe2Pt: relaxed, PBE-GGA.

Properties
- Formation enthalpy at 0 K: 1.06 eV/atom
- Offset from the most stable computed form: 213 kJ/mol of formula units
- SG: No. 10

Unit cell a=5.186 b=2.658 c=5.264 alpha=90.74 beta=90.00 gamma=90.00
Fractional coordinates of all 4 atoms:
K (0.500, 0.250, 0.250)
Pt (0.500, 0.750, 0.750)
Re (0.000, 0.889, 0.979)
Re (0.000, 0.611, 0.521)

KRePt2: relaxed, PBE-GGA.

Properties
- Formation enthalpy at 0 K: 0.98 eV/atom
- Offset from the most stable computed form: 334 kJ/mol of formula units
- SG: No. 225

Unit cell a=4.665 b=4.665 c=4.665 alpha=60.00 beta=60.00 gamma=60.00
Fractional coordinates of all 4 atoms:
Re (0.500, 0.500, 0.500)
K (0.000, 0.000, 0.000)
Pt (0.250, 0.250, 0.250)
Pt (0.750, 0.750, 0.750)

KRePt2: relaxed, PBE-GGA.

Properties
- Formation enthalpy at 0 K: 0.12 eV/atom
- Offset from the most stable computed form: 0 kJ/mol of formula units
- SG: No. 123

Unit cell a=2.849 b=2.849 c=9.126 alpha=90.00 beta=90.00 gamma=90.00
Fractional coordinates of all 4 atoms:
K (0.500, 0.500, 0.750)
Pt (0.000, 0.000, 0.051)
Pt (0.000, 0.000, 0.449)
Re (0.500, 0.500, 0.250)

KRe2Pt: relaxed, PBE-GGA.

Properties
- Formation enthalpy at 0 K: 0.85 eV/atom
- Offset from the most stable computed form: 133 kJ/mol of formula units
- SG: No. 65

Unit cell a=2.688 b=2.688 c=10.356 alpha=90.00 beta=90.00 gamma=104.58
Fractional coordinates of all 4 atoms:
K (0.500, 0.500, 0.250)
Pt (0.500, 0.500, 0.750)
Re (0.000, 0.000, 0.960)
Re (0.000, 0.000, 0.540)

KRe2Pt: relaxed, PBE-GGA.

Properties
- Formation enthalpy at 0 K: 1.23 eV/atom
- Offset from the most stable computed form: 277 kJ/mol of formula units
- SG: No. 65

Unit cell a=5.646 b=5.646 c=2.623 alpha=90.00 beta=90.00 gamma=122.74
Fractional coordinates of all 4 atoms:
K (0.500, 0.000, 0.500)
Pt (0.000, 0.500, 0.500)
Re (0.000, 0.000, 0.000)
Re (0.500, 0.500, 0.000)

KRe2Pt: relaxed, PBE-GGA.

Properties
- Formation enthalpy at 0 K: 1.15 eV/atom
- Offset from the most stable computed form: 246 kJ/mol of formula units
- SG: No. 123

Unit cell a=3.340 b=3.340 c=7.928 alpha=90.00 beta=90.00 gamma=90.00
Fractional coordinates of all 4 atoms:
K (0.500, 0.500, 0.250)
Pt (0.500, 0.500, 0.750)
Re (0.000, 0.000, 0.903)
Re (0.000, 0.000, 0.597)

KRe2Pt: relaxed, PBE-GGA.

Properties
- Formation enthalpy at 0 K: 0.70 eV/atom
- Offset from the most stable computed form: 75 kJ/mol of formula units
- SG: No. 8

Unit cell a=4.547 b=4.547 c=7.471 alpha=87.46 beta=87.46 gamma=34.07
Fractional coordinates of all 4 atoms:
K (0.506, 0.506, 0.493)
Pt (0.261, 0.261, 0.171)
Re (0.991, 0.991, 0.991)
Re (0.742, 0.742, 0.845)